{"formula": "Ca2CoPbF8", "functional": "GGA+U", "state": "relaxed", "m_tot_mub_per_cell": 3.0, "dos_ef_per_ev_cell": 0.0, "dft_energy_ev_per_atom": -5.359, "cell": [[4.048, -0.192, 0.007], [-0.155, 5.492, -0.008], [-0.010, 0.003, 7.686]], "species": ["F", "F", "F", "Pb", "Ca", "F", "F", "Ca", "Co", "F", "F", "F"], "fractional_positions": [[0.512, 0.271, 0.500], [0.441, 0.234, 0.000], [0.967, 0.248, 0.220], [0.000, 0.000, 0.500], [0.500, 0.500, 0.234], [0.033, 0.752, 0.780], [0.967, 0.249, 0.779], [0.500, 0.500, 0.766], [0.000, 0.000, 0.000], [0.033, 0.751, 0.221], [0.488, 0.729, 0.500], [0.559, 0.766, 0.000]]}